[1]
Computed, not measured: a geometry-optimized PmAu5 structure at the PBE level of DFT.

Results
VASP energy: -3.981 eV per atom
Space group: F-43m
DFT formation energy: -0.47 eV per atom

Unit cell a=5.551 b=5.551 c=5.551 alpha=60.00 beta=60.00 gamma=60.00
Sites, in units of the cell vectors:
Pm 0.000 0.000 0.000
Au 0.375 0.375 0.375
Au 0.375 0.375 0.874
Au 0.375 0.874 0.375
Au 0.750 0.750 0.750
Au 0.874 0.375 0.375

=====

[2]
Computed, not measured: a geometry-optimized AcYTa structure at the PBE level of DFT.

Results
VASP energy: -6.140 eV per atom
Space group: F-43m
DFT formation energy: 1.33 eV per atom

Unit cell a=5.228 b=5.228 c=5.228 alpha=60.00 beta=60.00 gamma=60.00
Sites, in units of the cell vectors:
Ac 0.000 0.000 0.000
Y 0.250 0.250 0.250
Ta 0.500 0.500 0.500

=====

[3]
Computed, not measured: a geometry-optimized ErHfBe structure at the PBE level of DFT.

Results
VASP energy: -4.913 eV per atom
Space group: F-43m
Polymorph energy (0 for the lowest one): 0 meV per atom

Unit cell a=4.659 b=4.659 c=4.659 alpha=60.00 beta=60.00 gamma=60.00
Sites, in units of the cell vectors:
Er 0.000 0.000 0.000
Hf 0.750 0.750 0.750
Be 0.500 0.500 0.500

=====

[4]
Computed, not measured: a geometry-optimized PmBeSi structure at the PBE level of DFT.

Results
VASP energy: -4.127 eV per atom
Space group: F-43m
Polymorph energy (0 for the lowest one): 1122 meV per atom

Unit cell a=4.646 b=4.646 c=4.646 alpha=60.00 beta=60.00 gamma=60.00
Sites, in units of the cell vectors:
Pm 0.000 0.000 0.000
Be 0.750 0.750 0.750
Si 0.250 0.250 0.250

=====

[5]
Computed, not measured: a geometry-optimized BeReNiPb structure at the PBE level of DFT.

Results
VASP energy: -5.570 eV per atom
Space group: F-43m

Unit cell a=4.334 b=4.334 c=4.334 alpha=60.00 beta=60.00 gamma=60.00
Sites, in units of the cell vectors:
Be 0.000 0.000 0.000
Re 0.750 0.750 0.750
Ni 0.500 0.500 0.500
Pb 0.250 0.250 0.250

=====

[6]
Computed, not measured: a geometry-optimized PrTmO3 structure at the PBE level of DFT.

Results
VASP energy: -8.085 eV per atom
Space group: P4mm

Unit cell a=4.060 b=4.060 c=4.782 alpha=90.00 beta=90.00 gamma=90.00
Sites, in units of the cell vectors:
Pr 0.000 0.000 0.000
Tm 0.500 0.500 0.592
O 0.000 0.500 0.730
O 0.500 0.000 0.730
O 0.500 0.500 0.154

=====

[7]
Computed, not measured: a geometry-optimized AlAsW4C2 structure at the PBE level of DFT.

Results
VASP energy: -9.700 eV per atom
Space group: P-6m2

Unit cell a=3.101 b=3.101 c=13.051 alpha=90.00 beta=90.00 gamma=120.00
Sites, in units of the cell vectors:
Al 0.000 0.000 0.000
As 0.333 0.667 0.500
W 0.000 0.000 0.345
W 0.000 0.000 0.655
W 0.333 0.667 0.166
W 0.333 0.667 0.834
C 0.667 0.333 0.255
C 0.667 0.333 0.745

=====

[8]
Computed, not measured: a geometry-optimized PrGdBBr structure at the PBE level of DFT.

Results
VASP energy: -5.175 eV per atom
Space group: P-3m1
Polymorph energy (0 for the lowest one): 0 meV per atom

Unit cell a=3.970 b=3.970 c=14.676 alpha=90.00 beta=90.00 gamma=120.00
Sites, in units of the cell vectors:
Pr 0.333 0.667 0.400
Pr 0.667 0.333 0.600
Gd 0.333 0.667 0.091
Gd 0.667 0.333 0.909
B 0.000 0.000 0.000
B 0.000 0.000 0.500
Br 0.333 0.667 0.760
Br 0.667 0.333 0.240

=====

Which of these has the highest VASP energy?
PmAu5

=====

Which value of VASP energy does entry 6 give?
-8.085 eV per atom

=====

Which of these has the lowest VASP energy?
AlAsW4C2

=====

What did the third record say?
Computed, not measured: a geometry-optimized ErHfBe structure at the PBE level of DFT.

Results
VASP energy: -4.913 eV per atom
Space group: F-43m
Polymorph energy (0 for the lowest one): 0 meV per atom

Unit cell a=4.659 b=4.659 c=4.659 alpha=60.00 beta=60.00 gamma=60.00
Sites, in units of the cell vectors:
Er 0.000 0.000 0.000
Hf 0.750 0.750 0.750
Be 0.500 0.500 0.500